# Sc2CdRh GGA-PBE relaxed
# **DFT formation energy**: -0.551 eV/atom
# **Crystal system**: tetragonal
# **Uncorrected energy**: -5.78 eV per atom
# **Magnetization**: 0.000 μB per atom
data_Sc2CdRh
_space_group_name_H-M_alt 'P 4/m m m'
_space_group_IT_number 123
_space_group_name_Hall '-P 4 2'
_cell_length_a 4.7031
_cell_length_b 4.7031
_cell_length_c 3.4738
_cell_angle_alpha 90.00
_cell_angle_beta 90.00
_cell_angle_gamma 90.00
loop_
_atom_site_label
_atom_site_fract_x
_atom_site_fract_y
_atom_site_fract_z
Sc1 0.0000 0.5000 0.0000
Cd1 0.0000 0.0000 0.5000
Rh1 0.5000 0.5000 0.5000